No. 1
Compound: TlCdSeN2
Source: the Alexandria database
Functional: PBE
Structure: optimized geometry

The calculation puts the total magnetization at 3.159 μB/cell. For the energy relative to the elements, uncorrected, the calculation gives 1.562 eV per atom. The energy above the lowest structure with this stoichiometry comes out at 12.2 kJ/mol of atoms.

The space group is P4/mmm (No. 123) and the conventional cell measures 4.3400, 4.3400 and 6.0343 Å, with angles of 90.00, 90.00 and 90.00 degrees. Symmetry generates all atoms from Tl at (0.0000, 0.0000, 0.0000), Cd at (0.5000, 0.5000, 0.5000), Se at (0.0000, 0.0000, 0.5000) and N at (0.0000, 0.5000, 0.0000).

No. 2
Compound: ErTiAl
Source: the Alexandria database
Functional: PBE
Structure: optimized geometry

The calculation puts the total magnetization at 3.474 μB/cell. The energy above the lowest structure with this stoichiometry comes out at 0.0 kJ/mol of atoms. Its formation energy is -163 meV per atom.

The space group is P-62m (No. 189) and the conventional cell measures 7.1666, 7.1666 and 4.4523 Å, with angles of 90.00, 90.00 and 120.00 degrees. Symmetry generates all atoms from Er at (0.0000, 0.5680, 0.0000), Ti at (0.0000, 0.2228, 0.5000), Al at (0.0000, 0.0000, 0.0000) and Al at (0.3333, 0.6667, 0.5000).

No. 3
Compound: BeTlSn2
Source: the Alexandria database
Functional: PBE
Structure: optimized geometry

The calculation puts the total magnetization at 0.000 μB/cell. The energy above the lowest structure with this stoichiometry comes out at 0.0 kJ/mol of atoms. Its formation energy is 359 meV per atom.

The space group is I-42d (No. 122) and the conventional cell measures 5.4341, 5.4341 and 15.3437 Å, with angles of 90.00, 90.00 and 90.00 degrees. Symmetry generates all atoms from Be at (0.0000, 0.0000, 0.0000), Tl at (0.0000, 0.0000, 0.5000) and Sn at (0.1453, 0.2500, 0.1250).

No. 4
Compound: LaPuSe2Cl
Source: the Alexandria database
Functional: PBE
Structure: optimized geometry

The calculation puts the total magnetization at 10.895 μB/cell. For the energy relative to the elements, uncorrected, the calculation gives -1.761 eV per atom.

The space group is P4/nmm (No. 129, origin choice 2) and the conventional cell measures 4.3016, 4.3016 and 14.4398 Å, with angles of 90.00, 90.00 and 90.00 degrees. Symmetry generates all atoms from La at (0.2500, 0.2500, 0.1076), Pu at (0.2500, 0.2500, 0.6377), Se at (0.2500, 0.2500, 0.3079), Se at (0.2500, 0.2500, 0.8880) and Cl at (0.2500, 0.7500, 0.5000).

No. 5
Compound: ZrNb2InN
Source: the Alexandria database
Functional: PBE
Structure: optimized geometry

The calculation puts the total magnetization at 0.000 μB/cell. For the energy relative to the elements, uncorrected, the calculation gives -0.559 eV per atom.

The space group is P4/mmm (No. 123) and the conventional cell measures 4.2752, 4.2752 and 4.6840 Å, with angles of 90.00, 90.00 and 90.00 degrees. Symmetry generates all atoms from Zr at (0.0000, 0.0000, 0.0000), Nb at (0.0000, 0.5000, 0.5000), In at (0.5000, 0.5000, 0.0000) and N at (0.0000, 0.0000, 0.5000).

No. 6
Compound: PaNi3
Source: the Alexandria database
Functional: PBE
Structure: optimized geometry

The calculation puts the total magnetization at 0.000 μB/cell. The energy above the lowest structure with this stoichiometry comes out at 22.1 kJ/mol of atoms. Its formation energy is -197 meV per atom.

The space group is Fm-3m (No. 225) and the conventional cell measures 6.2179, 6.2179 and 6.2179 Å, with angles of 90.00, 90.00 and 90.00 degrees. Symmetry generates all atoms from Pa at (0.0000, 0.0000, 0.0000), Ni at (0.0000, 0.0000, 0.5000) and Ni at (0.2500, 0.2500, 0.2500).

No. 7
Compound: As2Pt
Source: the Alexandria database
Functional: PBE
Structure: optimized geometry

The calculation puts the total magnetization at 0.000 μB/cell. Its formation energy is 26 meV per atom.

The space group is I4/mcm (No. 140) and the conventional cell measures 6.0801, 6.0801 and 5.9820 Å, with angles of 90.00, 90.00 and 90.00 degrees. Symmetry generates all atoms from As at (0.1599, 0.3401, 0.0000) and Pt at (0.0000, 0.0000, 0.2500).

No. 8
Compound: BaBeOs2
Source: the Alexandria database
Functional: PBE
Structure: optimized geometry

The calculation puts the total magnetization at 0.000 μB/cell. Its formation energy is 81 meV per atom.

The space group is R3m (No. 160, hexagonal axes) and the conventional cell measures 4.2480, 4.2480 and 17.5165 Å, with angles of 90.00, 90.00 and 120.00 degrees. Symmetry generates all atoms from Ba at (0.0000, 0.0000, 0.0000), Be at (0.0000, 0.0000, 0.1773), Os at (0.0000, 0.0000, 0.4994) and Os at (0.0000, 0.0000, 0.8182).

No. 9
Compound: ZnSb2P
Source: the Alexandria database
Functional: PBE
Structure: optimized geometry

The calculation puts the total magnetization at 0.000 μB/cell. For the energy relative to the elements, uncorrected, the calculation gives 0.359 eV per atom. The energy above the lowest structure with this stoichiometry comes out at 25.7 kJ/mol of atoms.

The space group is Cmmm (No. 65) and the conventional cell measures 4.7889, 5.0073 and 7.1902 Å, with angles of 90.00, 90.00 and 90.00 degrees. Symmetry generates all atoms from Zn at (0.0000, 0.0000, 0.0000), Sb at (0.0000, 0.5000, 0.2683) and P at (0.0000, 0.0000, 0.5000).

No. 10
Compound: KHoAgSe2
Source: the Alexandria database
Functional: PBE
Structure: optimized geometry

The calculation puts the total magnetization at 0.000 μB/cell. For the energy relative to the elements, uncorrected, the calculation gives -1.043 eV per atom.

The space group is P2/c (No. 13) and the conventional cell measures 7.6734, 4.9776 and 7.9773 Å, with angles of 90.00, 97.59 and 90.00 degrees. Symmetry generates all atoms from K at (0.0000, 0.1103, 0.2500), Ho at (0.5000, 0.4952, 0.7500), Ag at (0.5000, 0.0000, 0.0000) and Se at (0.2509, 0.3878, 0.9693).

No. 11
Compound: Na2CuSF
Source: the Alexandria database
Functional: PBE
Structure: optimized geometry

The calculation puts the total magnetization at 0.000 μB/cell. For the energy relative to the elements, uncorrected, the calculation gives -1.075 eV per atom.

The space group is P4/mmm (No. 123) and the conventional cell measures 5.2744, 5.2744 and 4.1720 Å, with angles of 90.00, 90.00 and 90.00 degrees. Symmetry generates all atoms from Na at (0.0000, 0.5000, 0.0000), Cu at (0.0000, 0.0000, 0.5000), S at (0.0000, 0.0000, 0.0000) and F at (0.5000, 0.5000, 0.5000).

No. 12
Compound: CaHg2Pt2
Source: the Alexandria database
Functional: PBE
Structure: optimized geometry

The calculation puts the total magnetization at 0.000 μB/cell. The energy above the lowest structure with this stoichiometry comes out at 0.0 kJ/mol of atoms. Its formation energy is -388 meV per atom.

The space group is I4/mmm (No. 139) and the conventional cell measures 4.2281, 4.2281 and 12.6632 Å, with angles of 90.00, 90.00 and 90.00 degrees. Symmetry generates all atoms from Ca at (0.0000, 0.0000, 0.0000), Hg at (0.0000, 0.5000, 0.2500) and Pt at (0.0000, 0.0000, 0.3995).